An optimized crystal structure of AlZnIn, computed with PBE.

As for the energy of formation: 0.292 eV per formula unit. The calculation puts the density of states at the Fermi level at 0.3700 states/eV per atom. The total magnetization comes out at 0.00 μB per cell.

The space group is P-1 (No. 2) and the conventional cell measures 4.395, 4.812 and 6.128 Å, with angles of 78.55, 78.82 and 88.98 degrees. Symmetry generates all atoms from Al at (0.220, 0.367, 0.135), Zn at (0.264, 0.909, 0.923) and In at (0.276, 0.756, 0.459).

---

An optimized crystal structure of Al2ZnIn2, computed with PBE.

As for the energy of formation: 1.312 eV per formula unit. The calculation puts the density of states at the Fermi level at 0.4184 states/eV per atom. The total magnetization comes out at 0.00 μB per cell.

The space group is P4/mbm (No. 127) and the conventional cell measures 8.284, 8.284 and 3.283 Å, with angles of 90.00, 90.00 and 90.00 degrees. Symmetry generates all atoms from Al at (0.118, 0.382, 0.000), Zn at (0.000, 0.000, 0.500) and In at (0.180, 0.680, 0.500).

---

An optimized crystal structure of Al2ZnIn2, computed with PBE.

As for the energy of formation: 1.528 eV per formula unit. The calculation puts the density of states at the Fermi level at 0.3544 states/eV per atom. The total magnetization comes out at 0.00 μB per cell.

The space group is I4/mmm (No. 139) and the conventional cell measures 4.398, 4.398 and 12.375 Å, with angles of 90.00, 90.00 and 90.00 degrees. Symmetry generates all atoms from Al at (0.000, 0.000, 0.102), Zn at (0.000, 0.000, 0.500) and In at (0.000, 0.500, 0.250).